[1]
DFT (PBE) results for a relaxed SiTc2Ru crystal.

## Properties
symmetry = Cmmm
energy relative to the elements, uncorrected = 0.19 eV/atom

Lattice parameters (Å, degrees): 2.7333 2.7333 8.3738 90.00 90.00 115.10
With the nearest neighbours (Å) after each atom.
Fractional positions:
Si 0.5000 0.5000 0.7500  4 Tc 2.45, 4 Si 2.73
Ru 0.5000 0.5000 0.2500  4 Tc 2.67, 6 Ru 2.73-2.93
Tc 0.0000 0.0000 0.9842  2 Si 2.45, 2 Ru 2.67, 4 Tc 2.73
Tc 0.0000 0.0000 0.5158  2 Si 2.45, 2 Ru 2.67, 4 Tc 2.73

---

[2]
DFT (PBE) results for a relaxed VCuNi4 crystal.

## Properties
symmetry = F-43m
calculated formation energy = -15 meV per atom

Lattice parameters (Å, degrees): 4.6252 4.6252 4.6252 60.00 60.00 60.00
With the nearest neighbours (Å) after each atom.
Fractional positions:
Cu 0.0000 0.0000 0.0000  12 Ni 2.71, 4 V 2.83
Ni 0.6251 0.6251 0.6251  6 Ni 2.31
Ni 0.6251 0.1247 0.6251  6 Ni 2.31
Ni 0.1247 0.6251 0.6251  6 Ni 2.31
Ni 0.6251 0.6251 0.1247  6 Ni 2.31
V 0.2500 0.2500 0.2500  12 Ni 2.71, 4 Cu 2.83

---

[3]
DFT (PBE) results for a relaxed KLa2Sc2 crystal.

## Properties
symmetry = P4/mbm
calculated formation energy = 385 meV per atom

Lattice parameters (Å, degrees): 10.0525 10.0525 3.5535 90.00 90.00 90.00
With the nearest neighbours (Å) after each atom.
Fractional positions:
K 0.5000 0.5000 0.0000  2 K 3.55, 4 La 3.97
La 0.6263 0.1263 0.0000  6 Sc 3.39-3.53, 3 La 3.55-3.59
La 0.8737 0.6263 0.0000  6 Sc 3.39-3.53, 3 La 3.55-3.59
Sc 0.1591 0.6591 0.5000  6 La 3.39-3.53, 2 Sc 3.55
Sc 0.6591 0.8409 0.5000  6 La 3.39-3.53, 2 Sc 3.55
Sc 0.8409 0.3409 0.5000  6 La 3.39-3.53, 2 Sc 3.55
La 0.3737 0.8737 0.0000  6 Sc 3.39-3.53, 3 La 3.55-3.59
La 0.1263 0.3737 0.0000  6 Sc 3.39-3.53, 3 La 3.55-3.59
K 0.0000 0.0000 0.0000  2 K 3.55, 4 La 3.97
Sc 0.3409 0.1591 0.5000  6 La 3.39-3.53, 2 Sc 3.55

---

[4]
DFT (PBE) results for a relaxed YP2Au crystal.

## Properties
symmetry = P4/mmm
calculated formation energy = -515 meV per atom

Lattice parameters (Å, degrees): 3.6276 4.5105 4.5105 90.00 90.00 90.00
With the nearest neighbours (Å) after each atom.
Fractional positions:
P 0.0000 0.5000 0.5000  4 Y 2.89, 4 Au 2.89, 4 P 3.19
P 0.0000 0.0000 0.0000  4 Au 2.89, 4 Y 2.89, 4 P 3.19
Y 0.5000 0.5000 0.0000  8 P 2.89, 4 Au 3.19
Au 0.5000 0.0000 0.5000  8 P 2.89, 4 Y 3.19

---

[5]
DFT (PBE) results for a relaxed La4GeO2 crystal.

## Properties
symmetry = Cmcm
energy relative to the elements, uncorrected = -1.85 eV/atom

Lattice parameters (Å, degrees): 4.0148 6.5969 12.6901 90.00 90.00 107.72
With the nearest neighbours (Å) after each atom.
Fractional positions:
La 0.9297 0.8595 0.7500  2 O 2.52
Ge 0.6101 0.2202 0.7500  6 La 3.03-3.11
O 0.8725 0.7450 0.9407  6 La 2.47-2.74
La 0.7687 0.5375 0.3939  3 O 2.47-2.74
La 0.2313 0.4625 0.8939  3 O 2.47-2.74
O 0.1275 0.2550 0.0593  6 La 2.47-2.74
La 0.0703 0.1405 0.2500  2 O 2.52
O 0.1275 0.2550 0.4407  6 La 2.47-2.74
La 0.5000 0.0000 0.5000  4 O 2.68
Ge 0.3899 0.7798 0.2500  6 La 3.03-3.11
La 0.5000 0.0000 0.0000  4 O 2.68
La 0.7687 0.5375 0.1061  3 O 2.47-2.74
O 0.8725 0.7450 0.5593  6 La 2.47-2.74
La 0.2313 0.4625 0.6061  3 O 2.47-2.74

---

[6]
DFT (PBE) results for a relaxed TaTlRe2Te crystal.

## Properties
symmetry = P4/mmm
energy relative to the elements, uncorrected = 2.53 eV/atom

Lattice parameters (Å, degrees): 4.8003 5.3614 4.8003 90.00 90.00 90.00
With the nearest neighbours (Å) after each atom.
Fractional positions:
Ta 0.5000 0.5000 0.5000  4 Tl 3.39, 8 Re 3.60
Re 0.5000 0.0000 0.0000  2 Te 2.40
Re 0.0000 0.0000 0.5000  2 Te 2.40
Tl 0.0000 0.5000 0.0000  2 Te 2.68
Te 0.0000 0.0000 0.0000  4 Re 2.40, 2 Tl 2.68

---

[7]
DFT (PBE) results for a relaxed Nd7Sm2Y2 crystal.

## Properties
symmetry = C2/m
calculated formation energy = 159 meV per atom

Lattice parameters (Å, degrees): 8.3965 6.9312 6.9312 86.39 78.78 78.78
With the nearest neighbours (Å) after each atom.
Fractional positions:
Nd 0.1775 0.0980 0.5029  3 Sm 3.43-3.59, 4 Nd 3.47-3.71, 1 Y 3.49
Nd 0.0000 0.0000 0.0000  4 Nd 3.56
Nd 0.1775 0.5029 0.0980  3 Sm 3.43-3.59, 4 Nd 3.47-3.71, 1 Y 3.49
Y 0.5000 0.2036 0.7964  8 Nd 3.49-3.89, 2 Sm 3.85, 1 Y 3.86
Y 0.5000 0.7964 0.2036  8 Nd 3.49-3.89, 2 Sm 3.85, 1 Y 3.86
Sm 0.8241 0.4186 0.4186  5 Nd 3.14-3.47
Nd 0.8225 0.4971 0.9020  3 Sm 3.43-3.59, 4 Nd 3.47-3.71, 1 Y 3.49
Sm 0.1759 0.5814 0.5814  5 Nd 3.14-3.47
Nd 0.4736 0.7151 0.7151  1 Sm 3.14, 2 Nd 3.47
Nd 0.5264 0.2849 0.2849  1 Sm 3.14, 2 Nd 3.47
Nd 0.8225 0.9020 0.4971  3 Sm 3.43-3.59, 4 Nd 3.47-3.71, 1 Y 3.49

---

[8]
DFT (PBE) results for a relaxed Pm8NiRu3Br4 crystal.

## Properties
symmetry = R-3m
energy relative to the elements, uncorrected = -0.81 eV/atom

Lattice parameters (Å, degrees): 8.0792 9.1402 8.0786 116.25 120.00 90.00
With the nearest neighbours (Å) after each atom.
Fractional positions:
Pm 0.7336 0.7003 0.4673  3 Ru 2.81-2.82
Pm 0.7663 0.3044 0.5326  2 Ru 2.78, 1 Ni 2.81
Pm 0.2715 0.3046 0.0378  2 Ru 2.78, 1 Ni 2.81
Ru 0.5000 0.5000 0.0000  6 Pm 2.78-2.82
Pm 0.2337 0.6954 0.9622  2 Ru 2.78, 1 Ni 2.81
Br 0.0000 0.0000 0.0000  6 Pm 3.31-3.35
Br 0.0000 0.0000 0.5000  6 Pm 3.32-3.35
Pm 0.2664 0.2997 0.5327  3 Ru 2.81-2.82
Ru 0.5000 0.5000 0.5000  6 Pm 2.78-2.81
Pm 0.2337 0.6956 0.4674  2 Ru 2.78, 1 Ni 2.81
Ru 0.0000 0.5000 0.5000  6 Pm 2.78-2.81
Pm 0.7285 0.6954 0.9622  2 Ru 2.78, 1 Ni 2.81
Ni 0.0000 0.5000 0.0000  6 Pm 2.81
Pm 0.7663 0.3046 0.0378  2 Ru 2.78, 1 Ni 2.81
Br 0.5000 0.0000 0.5000  6 Pm 3.32-3.35
Br 0.5000 0.0000 0.0000  6 Pm 3.32-3.33

---

[9]
DFT (PBE) results for a relaxed SrAlSiAu3 crystal.

## Properties
symmetry = Cmcm
energy relative to the elements, uncorrected = -0.41 eV/atom

Lattice parameters (Å, degrees): 6.3655 6.8789 7.3757 117.80 90.00 90.00
With the nearest neighbours (Å) after each atom.
Fractional positions:
Au 0.5000 0.7116 0.0000  2 Si 2.52, 2 Al 2.57
Sr 0.7500 0.2682 0.5364  4 Au 3.25-3.44, 2 Si 3.62
Au 0.0000 0.7116 0.0000  2 Si 2.52, 2 Al 2.57
Al 0.2500 0.0282 0.0563  5 Au 2.48-2.57
Si 0.2500 0.4009 0.8017  5 Au 2.39-2.52
Al 0.7500 0.9718 0.9437  5 Au 2.48-2.57
Si 0.7500 0.5991 0.1983  5 Au 2.39-2.52
Au 0.0000 0.2884 0.0000  2 Si 2.52, 2 Al 2.57
Au 0.5000 0.2884 0.0000  2 Si 2.52, 2 Al 2.57
Au 0.2500 0.2180 0.4360  1 Si 2.39, 1 Al 2.48
Sr 0.2500 0.7318 0.4636  4 Au 3.25-3.44, 2 Si 3.62
Au 0.7500 0.7820 0.5640  1 Si 2.39, 1 Al 2.48

---

[10]
DFT (PBE) results for a relaxed Cr5Si2N6 crystal.

## Properties
symmetry = C2/c
energy relative to the elements, uncorrected = -0.33 eV/atom

Lattice parameters (Å, degrees): 4.7944 4.7944 14.0699 84.20 84.20 63.50
With the nearest neighbours (Å) after each atom.
Fractional positions:
N 0.5189 0.7980 0.3297  1 Si 1.75
N 0.7542 0.7689 0.5075  2 Si 1.73-1.80
N 0.1925 0.8510 0.6583  1 Si 1.73
Cr 0.1388 0.1753 0.7581  4 N 2.00-2.11
N 0.7980 0.5189 0.8297  1 Si 1.75
N 0.2311 0.2458 0.9925  2 Si 1.73-1.80
N 0.8510 0.1925 0.1583  1 Si 1.73
Cr 0.5642 0.1100 0.0891  4 N 1.96-2.18
Cr 0.4822 0.5178 0.7500  4 N 1.98-2.03
Si 0.9649 0.4491 0.0893  4 N 1.73-1.80
Cr 0.4358 0.8900 0.9109  4 N 1.96-2.18
N 0.1490 0.8075 0.8417  1 Si 1.73
Si 0.0351 0.5509 0.9107  4 N 1.73-1.80
Cr 0.1100 0.5642 0.5891  4 N 1.96-2.18
Cr 0.5178 0.4822 0.2500  4 N 1.98-2.03
Cr 0.8247 0.8612 0.7419  4 N 2.00-2.11
N 0.7689 0.7542 0.0075  2 Si 1.73-1.80
Si 0.5509 0.0351 0.4107  4 N 1.73-1.80
N 0.2020 0.4811 0.1703  1 Si 1.75
N 0.8075 0.1490 0.3417  1 Si 1.73
N 0.4811 0.2020 0.6703  1 Si 1.75
Si 0.4491 0.9649 0.5893  4 N 1.73-1.80
Cr 0.8612 0.8247 0.2419  4 N 2.00-2.11
N 0.2458 0.2311 0.4925  2 Si 1.73-1.80
Cr 0.1753 0.1388 0.2581  4 N 2.00-2.11
Cr 0.8900 0.4358 0.4109  4 N 1.96-2.18

---

[11]
DFT (PBE) results for a relaxed Cd5Hg4Pb crystal.

## Properties
symmetry = P4/mmm
calculated formation energy = 39 meV per atom

Lattice parameters (Å, degrees): 3.5964 3.5964 19.1852 90.00 90.00 90.00
With the nearest neighbours (Å) after each atom.
Fractional positions:
Hg 0.0000 0.0000 0.5965  8 Cd 3.14-3.15
Cd 0.5000 0.5000 0.6929  8 Hg 3.14-3.16
Hg 0.0000 0.0000 0.7909  8 Cd 3.12-3.16
Cd 0.5000 0.5000 0.5000  8 Hg 3.15
Cd 0.5000 0.5000 0.8852  4 Hg 3.12, 4 Pb 3.36
Cd 0.5000 0.5000 0.1148  4 Hg 3.12, 4 Pb 3.36
Pb 0.0000 0.0000 0.0000  8 Cd 3.36, 4 Pb 3.60
Hg 0.0000 0.0000 0.4035  8 Cd 3.14-3.15
Hg 0.0000 0.0000 0.2091  8 Cd 3.12-3.16
Cd 0.5000 0.5000 0.3071  8 Hg 3.14-3.16

---

[12]
DFT (PBE) results for a relaxed Ca2In6AgRu crystal.

## Properties
symmetry = Fm-3m
calculated formation energy = 19 meV per atom

Lattice parameters (Å, degrees): 7.3764 7.3764 7.3764 60.00 60.00 90.00
With the nearest neighbours (Å) after each atom.
Fractional positions:
Ca 0.7500 0.2500 0.5000  12 In 3.69
Ru 0.5000 0.5000 0.0000  6 In 2.58
In 0.2528 0.7472 0.0000  1 Ru 2.58, 1 Ag 2.64
Ca 0.2500 0.7500 0.5000  12 In 3.69
Ag 0.0000 0.0000 0.0000  6 In 2.64
In 0.7472 0.2528 0.0000  1 Ru 2.58, 1 Ag 2.64
In 0.2529 0.2529 0.4943  1 Ru 2.58, 1 Ag 2.64
In 0.7471 0.7471 0.5057  1 Ru 2.58, 1 Ag 2.64
In 0.2529 0.2529 0.0000  1 Ru 2.58, 1 Ag 2.64
In 0.7471 0.7471 0.0000  1 Ru 2.58, 1 Ag 2.64

---

no.,E_tot (eV per cell)
1,-34.69
2,-36.43
3,-43.38
4,-22.62
5,-94.33
6,-29.59
7,-53.99
8,-91.19
9,-46.30
10,-226.33
11,-9.10
12,-32.37